No. 1
CsZr2AlP4O16: single point on PBEsol structure, SCAN.

a = 8.8152 Å, b = 9.4112 Å, c = 18.0834 Å
α = 90.00°, β = 90.00°, γ = 90.00°
Closest atoms and distances in Å follow each position.
Space group Pbcm (No. 57)
Symmetry-distinct sites (fractional):
1 Cs 0.1525 0.2452 0.2500 x4  7 O 3.12-3.34
2 Zr 0.2509 0.5307 0.5721 x8  6 O 2.04-2.10
3 Al 0.2976 0.5977 0.2500 x4  4 O 1.73-1.75
4 P 0.1067 0.6265 0.1020 x8  4 O 1.53-1.56
5 P 0.4016 0.5776 0.7500 x4  4 O 1.53-1.54
6 P 0.4671 0.2500 0.0000 x4  4 O 1.54
7 O 0.0632 0.0894 0.1039 x8  1 P 1.54
8 O 0.1255 0.7116 0.6015 x8  1 P 1.53
9 O 0.1783 0.5678 0.1744 x8  1 P 1.56
10 O 0.1824 0.5551 0.0355 x8  1 P 1.53
11 O 0.3248 0.5143 0.6816 x8  1 P 1.53
12 O 0.3665 0.1505 0.0464 x8  1 P 1.54
13 O 0.3908 0.7407 0.7500 x4  1 P 1.54
14 O 0.4273 0.0429 0.7500 x4  1 P 1.54
15 O 0.4333 0.6606 0.5521 x8  1 P 1.54

Calculated values
Formation energy from raw total energies = -3009 meV per atom
Fermi-level density of states = 0.0000 states/eV per atom


No. 2
As2SeBr: single point on PBEsol structure, SCAN.

a = 4.8457 Å, b = 4.8457 Å, c = 3.3787 Å
α = 90.00°, β = 90.00°, γ = 90.00°
Closest atoms and distances in Å follow each position.
Space group P4/mmm (No. 123)
Symmetry-distinct sites (fractional):
1 As 0.0000 0.5000 0.0000 x2  4 Se 2.95, 4 Br 2.95
2 Se 0.0000 0.0000 0.5000 x1  8 As 2.95
3 Br 0.5000 0.5000 0.5000 x1  8 As 2.95

Calculated values
Formation energy from raw total energies = 630 meV per atom
E above lowest polymorph = 0.863 eV/f.u.
Fermi-level density of states = 0.6603 states/eV per atom


No. 3
Li2OsF: single point on PBEsol structure, SCAN.

a = 6.0913 Å, b = 6.0913 Å, c = 6.0913 Å
α = 90.00°, β = 90.00°, γ = 90.00°
Closest atoms and distances in Å follow each position.
Space group Fm-3m (No. 225)
Symmetry-distinct sites (fractional):
1 Li 0.2500 0.2500 0.2500 x8  4 Os 2.64, 4 F 2.64
2 Os 0.0000 0.0000 0.0000 x4  8 Li 2.64
3 F 0.0000 0.0000 0.5000 x4  8 Li 2.64

Calculated values
Formation energy from raw total energies = 415 meV per atom
E above lowest polymorph = 3.383 eV/f.u.
Fermi-level density of states = 0.8503 states/eV per atom


No. 4
Li2LaSn2: single point on PBEsol structure, SCAN.

a = 8.4138 Å, b = 8.4138 Å, c = 3.1237 Å
α = 90.00°, β = 90.00°, γ = 90.00°
Closest atoms and distances in Å follow each position.
Space group P4/mbm (No. 127)
Symmetry-distinct sites (fractional):
1 Li 0.1152 0.3848 0.0000 x4  1 Li 2.74, 6 Sn 2.93-2.95
2 La 0.0000 0.0000 0.0000 x2  2 La 3.12, 4 Li 3.38, 8 Sn 3.47
3 Sn 0.1761 0.6761 0.5000 x4  6 Li 2.93-2.95, 2 Sn 3.12

Calculated values
E above lowest polymorph = 0.435 eV/f.u.
Fermi-level density of states = 0.3279 states/eV per atom


Q: Which of these has the highest Fermi-level density of states?
A: Li2OsF